1.
A relaxed RePOs2 crystal. Source: the Alexandria database, functional PBE.

Lattice parameters (Å, degrees): 4.321 4.321 4.321 60.00 60.00 60.00
Fractional positions:
Re 0.250 0.250 0.250
P 0.500 0.500 0.500
Os 0.000 0.000 0.000
Os 0.750 0.750 0.750

Values from the calculation:
The value obtained for the calculated formation energy is 496.4 meV per atom. The space-group type is F-43m, No. 216.


2.
A relaxed Li3GeRh3O8 crystal. Source: the Alexandria database, functional PBE.

Lattice parameters (Å, degrees): 6.069 6.069 6.010 120.34 90.00 120.00
Fractional positions:
Li 0.000 0.000 0.000
Li 0.000 0.500 0.000
Li 0.500 0.500 0.000
Ge 0.000 0.000 0.500
Rh 0.500 0.000 0.500
Rh 0.500 0.500 0.500
Rh 0.000 0.500 0.500
O 0.258 0.516 0.274
O 0.742 0.484 0.726
O 0.773 0.546 0.285
O 0.227 0.454 0.715
O 0.773 0.012 0.285
O 0.227 0.988 0.715
O 0.239 0.012 0.285
O 0.761 0.988 0.715

Values from the calculation:
The calculation puts the energy relative to the elements, uncorrected at -1.312 eV per atom. The space-group type is R-3m, No. 166.


3.
A relaxed BaRhBr2 crystal. Source: the Alexandria database, functional PBE.

Lattice parameters (Å, degrees): 5.747 5.747 5.747 137.52 119.12 77.05
Fractional positions:
Rh 0.750 0.250 0.500
Ba 0.250 0.750 0.500
Br 0.939 0.939 0.000
Br 0.561 0.561 0.000

Values from the calculation:
Its energy above the most stable polymorph in this dataset is 6 meV per atom. The calculation puts the energy relative to the elements, uncorrected at -0.881 eV per atom. The space-group type is Immm, No. 71.


4.
A relaxed Ho2Ga3GeIr4 crystal. Source: the Alexandria database, functional PBE.

Lattice parameters (Å, degrees): 4.270 4.270 10.041 90.00 90.00 90.00
Fractional positions:
Ho 0.500 0.000 0.233
Ho 0.000 0.500 0.767
Ga 0.000 0.000 0.500
Ga 0.500 0.000 0.871
Ga 0.000 0.500 0.129
Ge 0.500 0.500 0.500
Ir 0.500 0.500 0.000
Ir 0.000 0.000 0.000
Ir 0.500 0.000 0.628
Ir 0.000 0.500 0.372

Values from the calculation:
The value obtained for the calculated formation energy is -700.3 meV per atom. The space-group type is P-4m2, No. 115.


5.
A relaxed AcMgInPb crystal. Source: the Alexandria database, functional PBE.

Lattice parameters (Å, degrees): 4.804 4.985 5.067 90.00 90.00 90.00
Fractional positions:
Ac 0.000 0.500 0.500
Mg 0.000 0.000 0.000
In 0.500 0.500 0.000
Pb 0.500 0.000 0.500

Values from the calculation:
Its energy above the most stable polymorph in this dataset is 0 meV per atom. The value obtained for the calculated formation energy is -345.2 meV per atom. The space-group type is Pmmm, No. 47.


6.
A relaxed CdCu2Pt crystal. Source: the Alexandria database, functional PBE.

Lattice parameters (Å, degrees): 5.164 5.164 5.164 145.08 128.25 63.96
Fractional positions:
Cd 0.250 0.750 0.500
Cu 0.993 0.993 0.000
Cu 0.507 0.507 0.000
Pt 0.750 0.250 0.500

Values from the calculation:
The value obtained for the calculated formation energy is -32.8 meV per atom. The space-group type is Immm, No. 71.


7.
A relaxed MnIr6Rh crystal. Source: the Alexandria database, functional PBE.

Lattice parameters (Å, degrees): 3.844 3.844 7.686 90.00 90.00 90.00
Fractional positions:
Mn 0.000 0.000 0.500
Ir 0.500 0.500 0.000
Ir 0.500 0.500 0.500
Ir 0.500 0.000 0.254
Ir 0.500 0.000 0.746
Ir 0.000 0.500 0.254
Ir 0.000 0.500 0.746
Rh 0.000 0.000 0.000

Values from the calculation:
The value obtained for the calculated formation energy is -80.8 meV per atom. The space-group type is P4/mmm, No. 123.


8.
A relaxed Sr2BeBPt6 crystal. Source: the Alexandria database, functional PBE.

Lattice parameters (Å, degrees): 5.852 6.962 6.967 49.66 65.20 90.02
Fractional positions:
Sr 0.785 0.215 0.429
Sr 0.215 0.785 0.571
Be 0.500 0.500 0.000
B 0.000 0.000 0.000
Pt 0.242 0.294 0.518
Pt 0.706 0.759 0.053
Pt 0.241 0.759 0.053
Pt 0.759 0.241 0.947
Pt 0.294 0.241 0.947
Pt 0.758 0.706 0.482

Values from the calculation:
The value obtained for the calculated formation energy is -650.2 meV per atom. The space-group type is C2/m, No. 12.